VASP calculation (PBE) on a relaxed Hf6NiIr crystal.

Unit cell a=6.0368 b=10.5183 c=5.9875 alpha=90.00 beta=117.24 gamma=90.00
Closest atoms and distances in Å follow each position.
Space group C2/m (No. 12)
Unique sites:
Hf1 0.2389 0.2001 0.2457 x8  1 Ni 2.59, 1 Ir 2.65
Hf2 0.2427 0.0000 0.7607 x4  1 Ni 2.47, 1 Ir 2.66
Ni1 0.0000 0.0000 0.0000 x2  6 Hf 2.47-2.59
Ir1 0.0000 0.5000 0.5000 x2  6 Hf 2.65-2.66

Properties
**Crystal system**: monoclinic
**Volume**: 338.01 Å³ per cell
**ΔH_f (0 K)**: 14 meV/atom
**N(E_F)**: 1.2621 states/eV per atom